A plane-wave DFT calculation with PBE was carried out for RbLaSeO after structural relaxation.

Cell lengths 7.852, 7.852, 7.852 Å; angles 29.86, 29.86, 29.86 degrees
Element x y z (fractional)
Rb  0.000  0.000  0.000
La  0.481  0.481  0.481
Se  0.232  0.232  0.232
O  0.773  0.773  0.773

Values from the calculation:
The calculated volume is 26.57 Å³/atom. Its total magnetization is 0.000 μB/atom. The calculation puts the uncorrected formation energy at -2.118 eV per atom.